AcMgPb | Alexandria via LeMat-Bulk | GGA-PBE | relaxed; energy above the most stable polymorph in this dataset = 0 meV/atom; raw total energy = -42.77 eV for the cell shown; space-group type = I4/mmm, No. 139; formation enthalpy at 0 K = -0.4270 eV per atom; crystal system = tetragonal
1.0
4.768 0.000 0.000
0.000 4.768 0.000
0.000 0.000 17.121
Ac Mg Pb
4 4 4
Direct
0.000 0.000 0.164
0.000 0.000 0.836
0.500 0.500 0.336
0.500 0.500 0.664
0.000 0.500 0.000
0.000 0.500 0.500
0.500 0.000 0.000
0.500 0.000 0.500
0.000 0.000 0.373
0.000 0.000 0.627
0.500 0.500 0.127
0.500 0.500 0.873